# CrCuTe2

A relaxed structure of CrCuTe2 (PBEsol, the Alexandria database).

Properties
Energy above the lowest structure with this stoichiometry in meV/atom: 316
DOS at the Fermi energy in states/eV/cell: 1.9
SG: Fm-3m
Uncorrected formation energy in eV per atom: 0.37
Total energy in eV/atom: -5.040
Magnetization in μB per cell: 2.900

Lattice parameters (Å, degrees): 4.781 4.781 4.781 60.00 60.00 60.00
Fractional coordinates of all 4 atoms:
Cr1 0.000 0.000 0.000
Cu1 0.500 0.500 0.500
Te1 0.250 0.250 0.250
Te2 0.750 0.750 0.750


# TlCr3Cu

A relaxed structure of TlCr3Cu (PBEsol, the Alexandria database).

Properties
DOS at the Fermi energy in states/eV/cell: 5.3
SG: Pm-3m
Total energy in eV/atom: -6.182
Energy of formation in kJ/mol of formula units: 654
Magnetization in μB per cell: 11.504

Lattice parameters (Å, degrees): 4.578 4.578 4.578 90.00 90.00 90.00
Fractional coordinates of all 5 atoms:
Cr1 0.000 0.500 0.000
Cr2 0.000 0.000 0.500
Cr3 0.500 0.000 0.000
Tl1 0.500 0.500 0.500
Cu1 0.000 0.000 0.000


# TlCrCu2

A relaxed structure of TlCrCu2 (PBEsol, the Alexandria database).

Properties
DOS at the Fermi energy in states/eV/cell: 2.3
SG: F-43m
Total energy in eV/atom: -4.930
Energy of formation in kJ/mol of formula units: 176
Magnetization in μB per cell: 3.341

Lattice parameters (Å, degrees): 4.376 4.376 4.376 60.00 60.00 60.00
Fractional coordinates of all 4 atoms:
Cr1 0.500 0.500 0.500
Cu1 0.000 0.000 0.000
Cu2 0.750 0.750 0.750
Tl1 0.250 0.250 0.250


# Cr2CuW

A relaxed structure of Cr2CuW (PBEsol, the Alexandria database).

Properties
Energy above the lowest structure with this stoichiometry in meV/atom: 121
DOS at the Fermi energy in states/eV/cell: 3.1
SG: P4/mmm
Total energy in eV/atom: -9.238
Energy of formation in kJ/mol of formula units: 162
Magnetization in μB per cell: 0.000

Lattice parameters (Å, degrees): 2.498 2.498 8.117 90.00 90.00 90.00
Fractional coordinates of all 4 atoms:
Cr1 0.000 0.000 0.769
Cr2 0.000 0.000 0.231
Cu1 0.500 0.500 0.000
W1 0.500 0.500 0.500


# CrCuW

A relaxed structure of CrCuW (PBEsol, the Alexandria database).

Properties
Energy above the lowest structure with this stoichiometry in meV/atom: 0
DOS at the Fermi energy in states/eV/cell: 3.3
SG: Imm2
Total energy in eV/atom: -9.073
Energy of formation in kJ/mol of formula units: 112
Magnetization in μB per cell: 0.001

Lattice parameters (Å, degrees): 2.488 3.957 4.594 115.51 105.71 90.00
Fractional coordinates of all 3 atoms:
Cr1 0.996 0.996 0.993
Cu1 0.336 0.336 0.672
W1 0.667 0.667 0.335


# CrCuW2

A relaxed structure of CrCuW2 (PBEsol, the Alexandria database).

Properties
Energy above the lowest structure with this stoichiometry in meV/atom: 44
DOS at the Fermi energy in states/eV/cell: 3.1
SG: Cmmm
Total energy in eV/atom: -10.196
Energy of formation in kJ/mol of formula units: 136
Magnetization in μB per cell: 0.000

Lattice parameters (Å, degrees): 2.815 4.470 4.470 105.51 90.00 90.00
Fractional coordinates of all 4 atoms:
Cr1 0.500 0.000 0.000
Cu1 0.500 0.500 0.500
W1 0.000 0.500 0.000
W2 0.000 0.000 0.500


# CrCuW

A relaxed structure of CrCuW (PBEsol, the Alexandria database).

Properties
Energy above the lowest structure with this stoichiometry in meV/atom: 763
DOS at the Fermi energy in states/eV/cell: 2.6
SG: F-43m
Total energy in eV/atom: -8.310
Energy of formation in kJ/mol of formula units: 333
Magnetization in μB per cell: 1.103

Lattice parameters (Å, degrees): 3.969 3.969 3.969 60.00 60.00 60.00
Fractional coordinates of all 3 atoms:
Cr1 0.500 0.500 0.500
Cu1 0.250 0.250 0.250
W1 0.000 0.000 0.000


# Cr2CuW

A relaxed structure of Cr2CuW (PBEsol, the Alexandria database).

Properties
Energy above the lowest structure with this stoichiometry in meV/atom: 93
DOS at the Fermi energy in states/eV/cell: 3.7
SG: Pmm2
Total energy in eV/atom: -9.266
Energy of formation in kJ/mol of formula units: 151
Magnetization in μB per cell: 0.000

Lattice parameters (Å, degrees): 2.479 3.931 5.163 90.00 90.00 90.00
Fractional coordinates of all 4 atoms:
Cr1 0.000 0.000 0.012
Cr2 0.500 0.500 0.247
Cu1 0.000 0.000 0.491
W1 0.500 0.500 0.750


# Cr2CuW

A relaxed structure of Cr2CuW (PBEsol, the Alexandria database).

Properties
Energy above the lowest structure with this stoichiometry in meV/atom: 0
DOS at the Fermi energy in states/eV/cell: 2.5
SG: P4mm
Total energy in eV/atom: -9.359
Energy of formation in kJ/mol of formula units: 115
Magnetization in μB per cell: 0.308

Lattice parameters (Å, degrees): 2.831 2.831 6.237 90.00 90.00 90.00
Fractional coordinates of all 4 atoms:
Cr1 0.000 0.000 0.037
Cr2 0.500 0.500 0.228
Cu1 0.000 0.000 0.476
W1 0.500 0.500 0.760


# CrCuW2

A relaxed structure of CrCuW2 (PBEsol, the Alexandria database).

Properties
Energy above the lowest structure with this stoichiometry in meV/atom: 0
DOS at the Fermi energy in states/eV/cell: 2.8
SG: P4/mmm
Total energy in eV/atom: -10.239
Energy of formation in kJ/mol of formula units: 119
Magnetization in μB per cell: 0.000

Lattice parameters (Å, degrees): 3.692 3.825 3.823 90.00 90.00 90.00
Fractional coordinates of all 4 atoms:
Cr1 0.500 0.500 0.000
Cu1 0.500 0.000 0.500
W1 0.000 0.000 0.000
W2 0.000 0.500 0.500


# YCr2Cu

A relaxed structure of YCr2Cu (PBEsol, the Alexandria database).

Properties
Energy above the lowest structure with this stoichiometry in meV/atom: 52
DOS at the Fermi energy in states/eV/cell: 2.5
SG: Fm-3m
Total energy in eV/atom: -7.208
Energy of formation in kJ/mol of formula units: 271
Magnetization in μB per cell: 7.774

Lattice parameters (Å, degrees): 4.568 4.568 4.568 60.00 60.00 60.00
Fractional coordinates of all 4 atoms:
Cr1 0.250 0.250 0.250
Cr2 0.750 0.750 0.750
Cu1 0.000 0.000 0.000
Y1 0.500 0.500 0.500


# YCrCu2

A relaxed structure of YCrCu2 (PBEsol, the Alexandria database).

Properties
DOS at the Fermi energy in states/eV/cell: 2.5
SG: P4/mmm
Total energy in eV/atom: -6.218
Energy of formation in kJ/mol of formula units: 83
Magnetization in μB per cell: 3.391

Lattice parameters (Å, degrees): 3.239 3.239 6.152 90.00 90.00 90.00
Fractional coordinates of all 4 atoms:
Cr1 0.500 0.500 0.500
Cu1 0.000 0.000 0.704
Cu2 0.000 0.000 0.296
Y1 0.500 0.500 0.000